Ac3PmC8: optimized geometry, GGA-PBE.

## Properties
Its magnetic moment is 0.0 μB/f.u. Its space group is Fmm2 (42). For the formation energy, the calculation gives 184 meV/atom. Its crystal system is orthorhombic.

Unit cell a=6.775 b=6.766 c=7.667 alpha=55.57 beta=55.46 gamma=68.98
Element x y z (fractional)
1 Ac 0.000 0.000 0.000
2 Ac 0.249 0.249 0.251
3 Ac 0.749 0.749 0.751
4 Pm 0.500 0.500 0.500
5 C 0.111 0.634 0.366
6 C 0.128 0.449 0.551
7 C 0.367 0.891 0.633
8 C 0.449 0.128 0.872
9 C 0.552 0.873 0.448
10 C 0.634 0.111 0.889
11 C 0.873 0.552 0.127
12 C 0.891 0.367 0.109